Entry 1:
Density functional theory data (PBE-GGA) for an optimized crystal structure of PrUSe2.

Cell lengths 4.1082, 4.1082, 20.9983 Å; angles 90.00, 90.00, 120.00 degrees
Last column: nearest neighbours and their distance in Å.
Space group R-3m (No. 166, hexagonal axes)
Unique sites:
Pr: 0.0000 0.0000 0.0000 [3 per cell]  6 Se 3.00
U: 0.0000 0.0000 0.5000 [3 per cell]  6 Se 2.90
Se: 0.0000 0.0000 0.2458 [6 per cell]  3 U 2.90, 3 Pr 3.00

Computed properties:
total DFT energy (no corrections): -7.160 eV per atom
ΔE_f (raw): -1401 meV/atom



Entry 2:
Density functional theory data (PBE-GGA) for an optimized crystal structure of TaTcB.

Cell lengths 4.3723, 3.0302, 5.8999 Å; angles 90.00, 99.12, 90.00 degrees
Last column: nearest neighbours and their distance in Å.
Space group P2_1/m (No. 11)
Unique sites:
Ta: 0.2158 0.2500 0.3592 [2 per cell]  3 B 2.45-2.52, 1 Tc 2.73
Tc: 0.3358 0.2500 0.8277 [2 per cell]  4 B 2.23-2.40
B: 0.1197 0.7500 0.0290 [2 per cell]  2 B 1.84

Computed properties:
total DFT energy (no corrections): -10.067 eV per atom
E_form: -0.435 eV/atom
ΔE to the lowest computed polymorph: 4.31 kcal/mol of atoms



Entry 3:
Density functional theory data (PBE-GGA) for an optimized crystal structure of SiSbO2.

Cell lengths 7.6728, 7.6728, 7.6728 Å; angles 90.00, 90.00, 90.00 degrees
Last column: nearest neighbours and their distance in Å.
Space group Fd-3m (No. 227, origin choice 2)
Unique sites:
Si: 0.1250 0.1250 0.1250 [8 per cell]  4 O 1.66
Sb: 0.1250 0.1250 0.6250 [8 per cell]  12 O 3.18, 4 Sb 3.32, 4 Si 3.32
O: 0.0000 0.0000 0.0000 [16 per cell]  2 Si 1.66

Computed properties:
total DFT energy (no corrections): -6.350 eV per atom
ΔE_f (raw): -1485 meV/atom
ΔE to the lowest computed polymorph: 0.00 kcal/mol of atoms



Entry 4:
Density functional theory data (PBE-GGA) for an optimized crystal structure of AcLaAgRu.

Cell lengths 7.4812, 7.4812, 7.4812 Å; angles 90.00, 90.00, 90.00 degrees
Last column: nearest neighbours and their distance in Å.
Space group F-43m (No. 216)
Unique sites:
Ac: 0.0000 0.0000 0.0000 [4 per cell]  4 Ag 3.24, 4 Ru 3.24
La: 0.0000 0.0000 0.5000 [4 per cell]  4 Ru 3.24, 4 Ag 3.24
Ag: 0.2500 0.2500 0.2500 [4 per cell]  4 La 3.24, 4 Ac 3.24
Ru: 0.2500 0.2500 0.7500 [4 per cell]  4 Ac 3.24, 4 La 3.24

Computed properties:
total DFT energy (no corrections): -5.439 eV per atom
E_form: -0.148 eV/atom



Entry 5:
Density functional theory data (PBE-GGA) for an optimized crystal structure of Ca2Mg3Rh2.

Cell lengths 10.4638, 4.2545, 7.5559 Å; angles 90.00, 113.63, 90.00 degrees
Last column: nearest neighbours and their distance in Å.
Space group C2/m (No. 12)
Unique sites:
Ca: 0.1447 0.0000 0.2924 [4 per cell]  4 Rh 3.01-3.12, 3 Mg 3.33-3.34
Mg: 0.0000 0.5000 0.5000 [2 per cell]  4 Rh 2.70
Mg: 0.1416 0.5000 0.9358 [4 per cell]  3 Rh 2.76, 3 Mg 2.98-3.02
Rh: 0.1418 0.0000 0.7036 [4 per cell]  5 Mg 2.70-2.76, 1 Ca 3.01

Computed properties:
total DFT energy (no corrections): -3.760 eV per atom
E_form: -0.405 eV/atom



Entry 6:
Density functional theory data (PBE-GGA) for an optimized crystal structure of Tb3Pb7.

Cell lengths 10.1494, 10.1494, 6.8941 Å; angles 90.00, 90.00, 120.00 degrees
Last column: nearest neighbours and their distance in Å.
Space group P6_3mc (No. 186)
Unique sites:
Tb: 0.2094 0.4189 0.0000 [6 per cell]  7 Pb 3.20-3.25
Pb: 0.0567 0.5283 0.3218 [6 per cell]  4 Tb 3.21-3.25, 5 Pb 3.33-3.59
Pb: 0.1219 0.2437 0.5031 [6 per cell]  2 Tb 3.20, 2 Pb 3.50
Pb: 0.3333 0.6667 0.6525 [2 per cell]  3 Tb 3.24, 6 Pb 3.33-3.62

Computed properties:
total DFT energy (no corrections): -4.202 eV per atom
E_form: -0.217 eV/atom



Entry 7:
Density functional theory data (PBE-GGA) for an optimized crystal structure of SiTe.

Cell lengths 7.2287, 7.2287, 3.6856 Å; angles 90.00, 90.00, 120.00 degrees
Last column: nearest neighbours and their distance in Å.
Space group P6/mmm (No. 191)
Unique sites:
Si: 0.0000 0.0000 0.0000 [1 per cell]  6 Te 3.61, 2 Si 3.69
Si: 0.3333 0.6667 0.5000 [2 per cell]  6 Te 2.78
Te: 0.0000 0.5000 0.0000 [3 per cell]  4 Si 2.78

Computed properties:
total DFT energy (no corrections): -3.609 eV per atom
ΔE_f (raw): 674 meV/atom



Entry 8:
Density functional theory data (PBE-GGA) for an optimized crystal structure of Dy14ScCd.

Cell lengths 9.9178, 9.8740, 9.8752 Å; angles 90.00, 90.00, 90.00 degrees
Last column: nearest neighbours and their distance in Å.
Space group Amm2 (No. 38)
Unique sites:
Dy: 0.0000 0.0000 0.0000 [2 per cell]  12 Dy 3.49-3.55
Dy: 0.0000 0.0000 0.4996 [2 per cell]  12 Dy 3.49-3.53
Dy: 0.0000 0.2494 0.2498 [4 per cell]  12 Dy 3.49-3.54
Dy: 0.2538 0.0000 0.7482 [4 per cell]  1 Sc 3.46, 10 Dy 3.46-3.54, 1 Cd 3.48
Dy: 0.2550 0.2488 0.5000 [8 per cell]  1 Sc 3.46, 10 Dy 3.46-3.54, 1 Cd 3.47
Dy: 0.2560 0.0000 0.2513 [4 per cell]  1 Sc 3.45, 1 Cd 3.47, 10 Dy 3.47-3.55
Dy: 0.5000 0.2485 0.7504 [4 per cell]  8 Dy 3.46-3.47, 2 Cd 3.48-3.50, 2 Sc 3.48-3.50
Sc: 0.5000 0.0000 0.5001 [2 per cell]  12 Dy 3.45-3.50
Cd: 0.5000 0.0000 0.9999 [2 per cell]  12 Dy 3.47-3.50

Computed properties:
total DFT energy (no corrections): -4.479 eV per atom
E_form: 0.001 eV/atom



Q: Which value of total DFT energy (no corrections) does entry 1 give?
A: -7.160 eV per atom



Q: The lowest total DFT energy (no corrections) belongs to which entry?
A: TaTcB